Compound: ZrPS2N
Source: the Alexandria database
Functional: GGA-PBEsol
Structure: relaxed

Cell and atoms, written as CIF:
```
data_ZrPS2N
_cell_length_a 3.853
_cell_length_b 5.009
_cell_length_c 5.009
_cell_angle_alpha 90.00
_cell_angle_beta 90.00
_cell_angle_gamma 90.00
_symmetry_space_group_name_H-M 'P 1'
_symmetry_Int_Tables_number 1
loop_
_symmetry_equiv_pos_as_xyz
'x,y,z'
loop_
_atom_site_label
_atom_site_type_symbol
_atom_site_fract_x
_atom_site_fract_y
_atom_site_fract_z
P1 P 0.500 0.500 0.500
S1 S 0.000 0.000 0.500
S2 S 0.000 0.500 0.000
Zr1 Zr 0.000 0.000 0.000
N1 N 0.500 0.000 0.000
```

- Formation energy without anion corrections: 0.34 eV per atom
- Size of the total moment: 0.053 μB per atom

***

Compound: ZrPS2N
Source: the Alexandria database
Functional: GGA-PBEsol
Structure: relaxed

Cell and atoms, written as CIF:
```
data_ZrPS2N
_cell_length_a 3.333
_cell_length_b 4.604
_cell_length_c 4.604
_cell_angle_alpha 90.00
_cell_angle_beta 90.00
_cell_angle_gamma 90.00
_symmetry_space_group_name_H-M 'P 1'
_symmetry_Int_Tables_number 1
loop_
_symmetry_equiv_pos_as_xyz
'x,y,z'
loop_
_atom_site_label
_atom_site_type_symbol
_atom_site_fract_x
_atom_site_fract_y
_atom_site_fract_z
P1 P 0.000 0.000 0.000
S1 S 0.000 0.000 0.500
S2 S 0.000 0.500 0.000
Zr1 Zr 0.500 0.500 0.500
N1 N 0.500 0.000 0.000
```

- Formation energy without anion corrections: -0.17 eV per atom
- Size of the total moment: 0.000 μB per atom

***

Number 1: excess energy over the best structure of this formula in the dataset 515 meV per atom, N(E_F) 4.0 states/eV/f.u., E -6.093 eV per atom. Number 2: excess energy over the best structure of this formula in the dataset 0 meV per atom, N(E_F) 3.4 states/eV/f.u., E -6.609 eV per atom.